# 1
First-principles (PBE) data for a geometry-optimized Sm3SnTe2 structure, as listed in Alexandria.

Properties
- E_form (uncorrected) (eV per atom) = -1.241
- SG = No. 15
- energy above the most stable polymorph in this dataset (meV/atom) = 0

abc: 7.742 7.742 7.729
angles: 99.67 99.67 119.93
Element x y z (fractional)
Sm1 0.000 0.500 0.000
Sm2 0.159 0.318 0.499
Sm3 0.318 0.159 0.999
Sm4 0.500 0.000 0.500
Sm5 0.682 0.841 0.001
Sm6 0.841 0.682 0.501
Sn1 0.086 0.914 0.250
Sn2 0.914 0.086 0.750
Te1 0.253 0.747 0.750
Te2 0.417 0.583 0.250
Te3 0.583 0.417 0.750
Te4 0.747 0.253 0.250

***

# 2
First-principles (PBE) data for a geometry-optimized Ca2AcPm structure, as listed in Alexandria.

Properties
- energy of formation (meV/atom) = 28.3
- SG = No. 99
- energy above the most stable polymorph in this dataset (meV/atom) = 0

abc: 3.880 3.880 10.822
angles: 90.00 90.00 90.00
Element x y z (fractional)
Ca1 0.000 0.000 0.000
Ca2 0.500 0.500 0.259
Ac1 0.500 0.500 0.732
Pm1 0.000 0.000 0.502

***

# 3
First-principles (PBE) data for a geometry-optimized BaTaFe3 structure, as listed in Alexandria.

Properties
- energy of formation (meV/atom) = 1025.9
- SG = No. 221
- energy above the most stable polymorph in this dataset (meV/atom) = 0

abc: 4.859 4.859 4.859
angles: 90.00 90.00 90.00
Element x y z (fractional)
Ba1 0.000 0.000 0.000
Ta1 0.500 0.500 0.500
Fe1 0.000 0.500 0.500
Fe2 0.500 0.000 0.500
Fe3 0.500 0.500 0.000

***

# 4
First-principles (PBE) data for a geometry-optimized AcDy2Ho4Er structure, as listed in Alexandria.

Properties
- energy of formation (meV/atom) = 44.6
- SG = No. 47

abc: 5.055 5.076 10.136
angles: 90.00 90.00 90.00
Element x y z (fractional)
Ac1 0.000 0.000 0.000
Dy1 0.000 0.000 0.500
Dy2 0.500 0.500 0.000
Ho1 0.000 0.500 0.259
Ho2 0.000 0.500 0.741
Ho3 0.500 0.000 0.259
Ho4 0.500 0.000 0.741
Er1 0.500 0.500 0.500

***

# 5
First-principles (PBE) data for a geometry-optimized U3PdS6 structure, as listed in Alexandria.

Properties
- E_form (uncorrected) (eV per atom) = -1.259
- SG = No. 36
- energy above the most stable polymorph in this dataset (meV/atom) = 0

abc: 8.325 8.325 6.362
angles: 90.00 90.00 101.22
Element x y z (fractional)
U1 0.107 0.893 0.500
U2 0.224 0.430 0.600
U3 0.430 0.224 0.100
U4 0.570 0.776 0.600
U5 0.776 0.570 0.100
U6 0.893 0.107 0.000
Pd1 0.303 0.697 0.176
Pd2 0.697 0.303 0.676
S1 0.044 0.588 0.343
S2 0.130 0.197 0.299
S3 0.197 0.130 0.799
S4 0.271 0.729 0.783
S5 0.412 0.956 0.343
S6 0.476 0.524 0.313
S7 0.524 0.476 0.813
S8 0.588 0.044 0.843
S9 0.729 0.271 0.283
S10 0.803 0.870 0.299
S11 0.870 0.803 0.799
S12 0.956 0.412 0.843

***

# 6
First-principles (PBE) data for a geometry-optimized Sc2Sn2Sb structure, as listed in Alexandria.

Properties
- E_form (uncorrected) (eV per atom) = -0.363
- SG = No. 127
- energy above the most stable polymorph in this dataset (meV/atom) = 164

abc: 7.859 7.859 4.044
angles: 90.00 90.00 90.00
Element x y z (fractional)
Sc1 0.168 0.332 0.000
Sc2 0.332 0.832 0.000
Sc3 0.668 0.168 0.000
Sc4 0.832 0.668 0.000
Sn1 0.133 0.633 0.500
Sn2 0.367 0.133 0.500
Sn3 0.633 0.867 0.500
Sn4 0.867 0.367 0.500
Sb1 0.000 0.000 0.500
Sb2 0.500 0.500 0.500

***

# 7
First-principles (PBE) data for a geometry-optimized NiSnH2 structure, as listed in Alexandria.

Properties
- SG = No. 8
- energy above the most stable polymorph in this dataset (meV/atom) = 0

abc: 3.165 3.165 4.971
angles: 108.39 108.39 89.92
Element x y z (fractional)
Ni1 0.000 0.000 0.000
Sn1 0.307 0.307 0.616
H1 0.056 0.555 0.113
H2 0.555 0.056 0.113

***

# 8
First-principles (PBE) data for a geometry-optimized InRu4Rh structure, as listed in Alexandria.

Properties
- energy of formation (meV/atom) = 470.5
- SG = No. 216

abc: 5.125 5.125 5.125
angles: 60.00 60.00 60.00
Element x y z (fractional)
In1 0.000 0.000 0.000
Ru1 0.376 0.376 0.376
Ru2 0.376 0.376 0.873
Ru3 0.376 0.873 0.376
Ru4 0.873 0.376 0.376
Rh1 0.750 0.750 0.750

***

# 9
First-principles (PBE) data for a geometry-optimized TlIr2Au structure, as listed in Alexandria.

Properties
- energy of formation (meV/atom) = 476.5
- SG = No. 160
- energy above the most stable polymorph in this dataset (meV/atom) = 91

abc: 9.799 9.799 9.799
angles: 17.19 17.19 17.19
Element x y z (fractional)
Tl1 0.000 0.000 0.000
Ir1 0.246 0.246 0.246
Ir2 0.509 0.509 0.509
Au1 0.762 0.762 0.762

***

# 10
First-principles (PBE) data for a geometry-optimized AsP2SO structure, as listed in Alexandria.

Properties
- E_form (uncorrected) (eV per atom) = 0.718
- SG = No. 123
- energy above the most stable polymorph in this dataset (meV/atom) = 227

abc: 4.101 4.101 4.537
angles: 90.00 90.00 90.00
Element x y z (fractional)
As1 0.000 0.000 0.000
P1 0.000 0.500 0.500
P2 0.500 0.000 0.500
S1 0.500 0.500 0.000
O1 0.500 0.500 0.500

***

# 11
First-principles (PBE) data for a geometry-optimized LiPrSn2 structure, as listed in Alexandria.

Properties
- energy of formation (meV/atom) = -582.8
- SG = No. 63
- energy above the most stable polymorph in this dataset (meV/atom) = 2

abc: 9.955 9.955 4.550
angles: 90.00 90.00 153.98
Element x y z (fractional)
Li1 0.174 0.826 0.750
Li2 0.826 0.174 0.250
Pr1 0.395 0.605 0.750
Pr2 0.605 0.395 0.250
Sn1 0.043 0.957 0.750
Sn2 0.249 0.751 0.250
Sn3 0.751 0.249 0.750
Sn4 0.957 0.043 0.250

***

# 12
First-principles (PBE) data for a geometry-optimized Mg2BeTe structure, as listed in Alexandria.

Properties
- E_form (uncorrected) (eV per atom) = 0.194
- SG = No. 71
- energy above the most stable polymorph in this dataset (meV/atom) = 182

abc: 5.322 5.322 5.322
angles: 136.13 126.81 71.33
Element x y z (fractional)
Mg1 0.231 0.231 0.000
Mg2 0.769 0.769 0.000
Be1 0.000 0.500 0.500
Te1 0.500 0.000 0.500

***

# 13
First-principles (PBE) data for a geometry-optimized AcGaRh3 structure, as listed in Alexandria.

Properties
- energy of formation (meV/atom) = -513.3
- SG = No. 74

abc: 6.621 6.621 6.621
angles: 130.53 100.46 99.70
Element x y z (fractional)
Ac1 0.280 0.030 0.250
Ac2 0.720 0.970 0.750
Ga1 0.000 0.500 0.500
Ga2 0.500 0.500 0.000
Rh1 0.064 0.314 0.750
Rh2 0.264 0.000 0.764
Rh3 0.264 0.500 0.264
Rh4 0.736 0.000 0.236
Rh5 0.736 0.500 0.736
Rh6 0.936 0.686 0.250

***

# 14
First-principles (PBE) data for a geometry-optimized NaGaMo2I structure, as listed in Alexandria.

Properties
- E_form (uncorrected) (eV per atom) = 2.061
- SG = No. 123

abc: 5.275 5.275 5.028
angles: 90.00 90.00 90.00
Element x y z (fractional)
Na1 0.000 0.000 0.000
Ga1 0.000 0.000 0.500
Mo1 0.000 0.500 0.000
Mo2 0.500 0.000 0.000
I1 0.500 0.500 0.500

***

# 15
First-principles (PBE) data for a geometry-optimized Ac8Pd3Ru structure, as listed in Alexandria.

Properties
- energy of formation (meV/atom) = -436.0
- SG = No. 12

abc: 8.454 8.454 8.454
angles: 116.31 116.31 63.58
Element x y z (fractional)
Ac1 0.238 0.761 0.740
Ac2 0.239 0.239 0.737
Ac3 0.239 0.762 0.260
Ac4 0.255 0.255 0.246
Ac5 0.745 0.745 0.754
Ac6 0.761 0.238 0.740
Ac7 0.761 0.761 0.263
Ac8 0.762 0.239 0.260
Pd1 0.000 0.500 0.000
Pd2 0.500 0.000 0.000
Pd3 0.500 0.500 0.500
Ru1 0.000 0.000 0.500

***

# 16
First-principles (PBE) data for a geometry-optimized CeGd2Ge structure, as listed in Alexandria.

Properties
- energy of formation (meV/atom) = -307.4
- SG = No. 123
- energy above the most stable polymorph in this dataset (meV/atom) = 30

abc: 3.860 3.860 7.130
angles: 90.00 90.00 90.00
Element x y z (fractional)
Ce1 0.000 0.000 0.000
Gd1 0.500 0.500 0.291
Gd2 0.500 0.500 0.709
Ge1 0.000 0.000 0.500

***

# 17
First-principles (PBE) data for a geometry-optimized Na4CdBi5 structure, as listed in Alexandria.

Properties
- energy of formation (meV/atom) = -206.7
- SG = No. 123

abc: 3.429 3.429 24.717
angles: 90.00 90.00 90.00
Element x y z (fractional)
Na1 0.000 0.000 0.100
Na2 0.000 0.000 0.298
Na3 0.000 0.000 0.702
Na4 0.000 0.000 0.900
Cd1 0.000 0.000 0.500
Bi1 0.500 0.500 0.000
Bi2 0.500 0.500 0.200
Bi3 0.500 0.500 0.403
Bi4 0.500 0.500 0.597
Bi5 0.500 0.500 0.800

***

# 18
First-principles (PBE) data for a geometry-optimized Ti3HPd2 structure, as listed in Alexandria.

Properties
- total DFT energy (no corrections) (Ry per atom) = -0.480
- SG = No. 12

abc: 6.630 6.630 6.281
angles: 93.48 93.48 140.64
Element x y z (fractional)
Ti1 0.022 0.022 0.262
Ti2 0.200 0.553 0.700
Ti3 0.447 0.800 0.300
Ti4 0.553 0.200 0.700
Ti5 0.800 0.447 0.300
Ti6 0.978 0.978 0.738
H1 0.227 0.773 0.500
H2 0.773 0.227 0.500
Pd1 0.168 0.832 0.000
Pd2 0.500 0.500 0.000
Pd3 0.500 0.500 0.500
Pd4 0.832 0.168 0.000

***

# 19
First-principles (PBE) data for a geometry-optimized Cd6InAg8 structure, as listed in Alexandria.

Properties
- energy of formation (meV/atom) = 36.5
- SG = No. 147

abc: 8.159 8.159 5.350
angles: 90.00 90.00 120.00
Element x y z (fractional)
Cd1 0.095 0.450 0.312
Cd2 0.356 0.905 0.312
Cd3 0.450 0.356 0.688
Cd4 0.550 0.644 0.312
Cd5 0.644 0.095 0.688
Cd6 0.905 0.550 0.688
In1 0.000 0.000 0.500
Ag1 0.038 0.284 0.827
Ag2 0.246 0.962 0.827
Ag3 0.284 0.246 0.173
Ag4 0.333 0.667 0.815
Ag5 0.667 0.333 0.185
Ag6 0.716 0.754 0.827
Ag7 0.754 0.038 0.173
Ag8 0.962 0.716 0.173

***

# 20
First-principles (PBE) data for a geometry-optimized Dy3Rh4Pb structure, as listed in Alexandria.

Properties
- energy of formation (meV/atom) = -712.5
- SG = No. 166

abc: 8.343 8.343 8.343
angles: 33.45 33.45 33.45
Element x y z (fractional)
Dy1 0.000 0.000 0.000
Dy2 0.246 0.246 0.246
Dy3 0.754 0.754 0.754
Rh1 0.122 0.122 0.122
Rh2 0.374 0.374 0.374
Rh3 0.626 0.626 0.626
Rh4 0.878 0.878 0.878
Pb1 0.500 0.500 0.500

***

# 21
First-principles (PBE) data for a geometry-optimized GdTmBeAg structure, as listed in Alexandria.

Properties
- energy of formation (meV/atom) = -57.9
- SG = No. 216

abc: 5.007 5.007 5.007
angles: 60.00 60.00 60.00
Element x y z (fractional)
Gd1 0.000 0.000 0.000
Tm1 0.500 0.500 0.500
Be1 0.250 0.250 0.250
Ag1 0.750 0.750 0.750

***

# 22
First-principles (PBE) data for a geometry-optimized TiCr2NCl structure, as listed in Alexandria.

Properties
- E_form (uncorrected) (eV per atom) = 0.121
- SG = No. 123

abc: 3.627 3.627 5.501
angles: 90.00 90.00 90.00
Element x y z (fractional)
Ti1 0.000 0.000 0.000
Cr1 0.000 0.500 0.500
Cr2 0.500 0.000 0.500
N1 0.500 0.500 0.500
Cl1 0.500 0.500 0.000

***

# 23
First-principles (PBE) data for a geometry-optimized ErMg2Pb structure, as listed in Alexandria.

Properties
- energy of formation (meV/atom) = -279.0
- SG = No. 123
- energy above the most stable polymorph in this dataset (meV/atom) = 0

abc: 4.539 4.539 4.787
angles: 90.00 90.00 90.00
Element x y z (fractional)
Er1 0.000 0.000 0.000
Mg1 0.000 0.500 0.500
Mg2 0.500 0.000 0.500
Pb1 0.500 0.500 0.000

***

no.,density of states at the Fermi level (states/eV per atom)
1,0.264
2,1.273
3,1.309
4,1.407
5,1.851
6,0.755
7,0.354
8,1.869
9,1.340
10,0.681
11,0.243
12,0.270
13,0.916
14,0.749
15,1.078
16,1.452
17,0.458
18,1.127
19,0.197
20,0.802
21,0.854
22,0.946
23,0.318